1.
! PBE-GGA Na2MgCoAs2, optimized geometry; values from VASP
&SYSTEM
  ibrav = 0, nat = 6, ntyp = 4
/
ATOMIC_SPECIES
Na 22.99 Na.upf
Mg 24.30 Mg.upf
Co 58.93 Co.upf
As 74.92 As.upf
CELL_PARAMETERS angstrom
4.106 0.000 0.000
0.000 4.106 0.000
0.000 0.000 7.074
ATOMIC_POSITIONS crystal
Na 0.000 0.500 0.145
Na 0.500 0.000 0.855
Mg 0.000 0.000 0.500
Co 0.500 0.500 0.500
As 0.000 0.500 0.716
As 0.500 0.000 0.284
! - calculated volume (A^3/atom) = 19.87
! - energy (eV per atom) = -3.7670
! - crystal system = tetragonal

2.
! PBE-GGA Zr6FeCl14, optimized geometry; values from VASP
&SYSTEM
  ibrav = 0, nat = 42, ntyp = 3
/
ATOMIC_SPECIES
Zr 91.22 Zr.upf
Fe 55.84 Fe.upf
Cl 35.45 Cl.upf
CELL_PARAMETERS angstrom
7.252 -6.446 0.000
7.252 6.446 0.000
0.000 0.000 11.872
ATOMIC_POSITIONS crystal
Zr 0.048 0.195 0.881
Zr 0.155 0.845 0.888
Zr 0.195 0.048 0.119
Zr 0.305 0.452 0.619
Zr 0.345 0.655 0.388
Zr 0.452 0.305 0.381
Zr 0.548 0.695 0.619
Zr 0.655 0.345 0.612
Zr 0.695 0.548 0.381
Zr 0.805 0.952 0.881
Zr 0.845 0.155 0.112
Zr 0.952 0.805 0.119
Fe 0.000 0.000 0.000
Fe 0.500 0.500 0.500
Cl 0.037 0.209 0.248
Cl 0.093 0.407 0.750
Cl 0.121 0.633 0.008
Cl 0.133 0.621 0.508
Cl 0.157 0.843 0.259
Cl 0.209 0.037 0.752
Cl 0.248 0.248 0.500
Cl 0.252 0.252 0.000
Cl 0.291 0.463 0.252
Cl 0.343 0.657 0.759
Cl 0.367 0.879 0.008
Cl 0.379 0.867 0.508
Cl 0.407 0.093 0.250
Cl 0.463 0.291 0.748
Cl 0.537 0.709 0.252
Cl 0.593 0.907 0.750
Cl 0.621 0.133 0.492
Cl 0.633 0.121 0.992
Cl 0.657 0.343 0.241
Cl 0.709 0.537 0.748
Cl 0.748 0.748 0.000
Cl 0.752 0.752 0.500
Cl 0.791 0.963 0.248
Cl 0.843 0.157 0.741
Cl 0.867 0.379 0.492
Cl 0.879 0.367 0.992
Cl 0.907 0.593 0.250
Cl 0.963 0.791 0.752
! - calculated volume (A^3/atom) = 26.43
! - energy (eV per atom) = -5.7341
! - crystal system = orthorhombic

3.
! PBE-GGA B2TeW2, optimized geometry; values from VASP
&SYSTEM
  ibrav = 0, nat = 10, ntyp = 3
/
ATOMIC_SPECIES
B 10.81 B.upf
Te 127.60 Te.upf
W 183.84 W.upf
CELL_PARAMETERS angstrom
0.000 7.128 2.126
4.663 0.000 2.126
4.663 7.128 0.000
ATOMIC_POSITIONS crystal
B 0.293 0.707 0.378
B 0.628 0.872 0.543
B 0.707 0.293 0.622
B 0.872 0.628 0.957
Te 0.303 0.303 0.697
Te 0.553 0.553 0.947
W 0.024 0.459 0.120
W 0.130 0.853 0.226
W 0.459 0.024 0.397
W 0.853 0.130 0.791
! - calculated volume (A^3/atom) = 14.13
! - energy (eV per atom) = -7.8342
! - crystal system = orthorhombic

Copy entry 2 word for word.
! PBE-GGA Zr6FeCl14, optimized geometry; values from VASP
&SYSTEM
  ibrav = 0, nat = 42, ntyp = 3
/
ATOMIC_SPECIES
Zr 91.22 Zr.upf
Fe 55.84 Fe.upf
Cl 35.45 Cl.upf
CELL_PARAMETERS angstrom
7.252 -6.446 0.000
7.252 6.446 0.000
0.000 0.000 11.872
ATOMIC_POSITIONS crystal
Zr 0.048 0.195 0.881
Zr 0.155 0.845 0.888
Zr 0.195 0.048 0.119
Zr 0.305 0.452 0.619
Zr 0.345 0.655 0.388
Zr 0.452 0.305 0.381
Zr 0.548 0.695 0.619
Zr 0.655 0.345 0.612
Zr 0.695 0.548 0.381
Zr 0.805 0.952 0.881
Zr 0.845 0.155 0.112
Zr 0.952 0.805 0.119
Fe 0.000 0.000 0.000
Fe 0.500 0.500 0.500
Cl 0.037 0.209 0.248
Cl 0.093 0.407 0.750
Cl 0.121 0.633 0.008
Cl 0.133 0.621 0.508
Cl 0.157 0.843 0.259
Cl 0.209 0.037 0.752
Cl 0.248 0.248 0.500
Cl 0.252 0.252 0.000
Cl 0.291 0.463 0.252
Cl 0.343 0.657 0.759
Cl 0.367 0.879 0.008
Cl 0.379 0.867 0.508
Cl 0.407 0.093 0.250
Cl 0.463 0.291 0.748
Cl 0.537 0.709 0.252
Cl 0.593 0.907 0.750
Cl 0.621 0.133 0.492
Cl 0.633 0.121 0.992
Cl 0.657 0.343 0.241
Cl 0.709 0.537 0.748
Cl 0.748 0.748 0.000
Cl 0.752 0.752 0.500
Cl 0.791 0.963 0.248
Cl 0.843 0.157 0.741
Cl 0.867 0.379 0.492
Cl 0.879 0.367 0.992
Cl 0.907 0.593 0.250
Cl 0.963 0.791 0.752
! - calculated volume (A^3/atom) = 26.43
! - energy (eV per atom) = -5.7341
! - crystal system = orthorhombic

Copy entry 2 word for word.
! PBE-GGA Zr6FeCl14, optimized geometry; values from VASP
&SYSTEM
  ibrav = 0, nat = 42, ntyp = 3
/
ATOMIC_SPECIES
Zr 91.22 Zr.upf
Fe 55.84 Fe.upf
Cl 35.45 Cl.upf
CELL_PARAMETERS angstrom
7.252 -6.446 0.000
7.252 6.446 0.000
0.000 0.000 11.872
ATOMIC_POSITIONS crystal
Zr 0.048 0.195 0.881
Zr 0.155 0.845 0.888
Zr 0.195 0.048 0.119
Zr 0.305 0.452 0.619
Zr 0.345 0.655 0.388
Zr 0.452 0.305 0.381
Zr 0.548 0.695 0.619
Zr 0.655 0.345 0.612
Zr 0.695 0.548 0.381
Zr 0.805 0.952 0.881
Zr 0.845 0.155 0.112
Zr 0.952 0.805 0.119
Fe 0.000 0.000 0.000
Fe 0.500 0.500 0.500
Cl 0.037 0.209 0.248
Cl 0.093 0.407 0.750
Cl 0.121 0.633 0.008
Cl 0.133 0.621 0.508
Cl 0.157 0.843 0.259
Cl 0.209 0.037 0.752
Cl 0.248 0.248 0.500
Cl 0.252 0.252 0.000
Cl 0.291 0.463 0.252
Cl 0.343 0.657 0.759
Cl 0.367 0.879 0.008
Cl 0.379 0.867 0.508
Cl 0.407 0.093 0.250
Cl 0.463 0.291 0.748
Cl 0.537 0.709 0.252
Cl 0.593 0.907 0.750
Cl 0.621 0.133 0.492
Cl 0.633 0.121 0.992
Cl 0.657 0.343 0.241
Cl 0.709 0.537 0.748
Cl 0.748 0.748 0.000
Cl 0.752 0.752 0.500
Cl 0.791 0.963 0.248
Cl 0.843 0.157 0.741
Cl 0.867 0.379 0.492
Cl 0.879 0.367 0.992
Cl 0.907 0.593 0.250
Cl 0.963 0.791 0.752
! - calculated volume (A^3/atom) = 26.43
! - energy (eV per atom) = -5.7341
! - crystal system = orthorhombic

Among the records above, which one has the lowest calculated volume?
B2TeW2